Density functional theory data (GGA-PBEsol) for crystalline Mg2ReMo at its relaxed geometry.

Output
As for the excess energy over the best structure of this formula in the dataset: 182 meV per atom. For the formation energy, the calculation gives 0.445 eV/atom.

Cell: 9.6617 2.7856 4.8725 Å, 90.00 99.24 90.00°
Space group C2/m (No. 12)
Unique sites:
Mg  0.2474  0.0000  0.2477 [4 per cell]
Re  0.0000  0.5000  0.0000 [2 per cell]
Mo  0.0000  0.0000  0.5000 [2 per cell]


Density functional theory data (GGA-PBEsol) for crystalline Mn3Ag at its relaxed geometry.

Output
For the formation energy, the calculation gives 0.390 eV/atom.

Cell: 2.6416 3.5478 5.4590 Å, 90.00 90.00 90.00°
Space group Pmmm (No. 47)
Unique sites:
Mn  0.0000  0.0000  0.0000 [1 per cell]
Mn  0.5000  0.5000  0.2223 [2 per cell]
Ag  0.0000  0.0000  0.5000 [1 per cell]


Density functional theory data (GGA-PBEsol) for crystalline K3RbNa at its relaxed geometry.

Output
For the formation energy, the calculation gives 0.088 eV/atom.

Cell: 7.1914 7.1914 7.1914 Å, 90.00 90.00 90.00°
Space group Pm-3m (No. 221)
Unique sites:
K  0.0000  0.0000  0.5000 [3 per cell]
Rb  0.5000  0.5000  0.5000 [1 per cell]
Na  0.0000  0.0000  0.0000 [1 per cell]


Density functional theory data (GGA-PBEsol) for crystalline AgAsI2Cl at its relaxed geometry.

Output
Its uncorrected formation energy is 0.5246 eV per atom.

Cell: 5.4744 5.4744 4.9613 Å, 90.00 90.00 90.00°
Space group P4/mmm (No. 123)
Unique sites:
Ag  0.0000  0.0000  0.0000 [1 per cell]
As  0.0000  0.0000  0.5000 [1 per cell]
I  0.0000  0.5000  0.0000 [2 per cell]
Cl  0.5000  0.5000  0.5000 [1 per cell]


Density functional theory data (GGA-PBEsol) for crystalline InCoMo2 at its relaxed geometry.

Output
For the formation energy, the calculation gives 0.402 eV/atom.

Cell: 2.8176 2.8176 26.7664 Å, 90.00 90.00 120.00°
Space group R3m (No. 160, hexagonal axes)
Unique sites:
In  0.0000  0.0000  0.0000 [3 per cell]
Co  0.0000  0.0000  0.7481 [3 per cell]
Mo  0.0000  0.0000  0.2409 [3 per cell]
Mo  0.0000  0.0000  0.4867 [3 per cell]


Density functional theory data (GGA-PBEsol) for crystalline SiPtI2 at its relaxed geometry.

Output
Its uncorrected formation energy is 0.6811 eV per atom.

Cell: 7.0640 7.0640 7.0640 Å, 90.00 90.00 90.00°
Space group Fm-3m (No. 225)
Unique sites:
Si  0.0000  0.0000  0.0000 [4 per cell]
Pt  0.0000  0.0000  0.5000 [4 per cell]
I  0.2500  0.2500  0.2500 [8 per cell]


In the order shown, the computed calculated total energy values come out to -53.5; -31.0; -5.4; -11.3; -97.9; -54.1 eV per cell.